# 1
The following is a PBE calculation of a geometry-optimized TlCdBr4 structure, from the Alexandria database.

Results
raw formation energy: 0.1191 eV per atom

Cell and atoms, written as CIF:
```
data_TlCdBr4
_chemical_formula_sum 'Tl4 Cd4 Br16'
_cell_length_a 9.260
_cell_length_b 9.260
_cell_length_c 9.260
_cell_angle_alpha 90.00
_cell_angle_beta 90.00
_cell_angle_gamma 90.00
_space_group_name_H-M_alt 'F -4 3 m'
_space_group_IT_number 216
_space_group_name_Hall 'F -4 2 3'
loop_
_atom_site_label
_atom_site_fract_x
_atom_site_fract_y
_atom_site_fract_z
_atom_site_occupancy
Tl1 0.000 0.000 0.000 1
Cd1 0.250 0.250 0.250 1
Br1 0.124 0.124 0.624 1
```

---

# 2
The following is a PBE calculation of a geometry-optimized TlCdBr structure, from the Alexandria database.

Results
raw formation energy: -0.3649 eV per atom

Cell and atoms, written as CIF:
```
data_TlCdBr
_chemical_formula_sum 'Tl1 Cd1 Br1'
_cell_length_a 4.6149
_cell_length_b 4.6149
_cell_length_c 5.7656
_cell_angle_alpha 90.00
_cell_angle_beta 90.00
_cell_angle_gamma 120.00
_space_group_name_H-M_alt 'P 3 m 1'
_space_group_IT_number 156
loop_
_space_group_symop_operation_xyz
'x,y,z'
'-y,x-y,z'
'-x+y,-x,z'
'-y,-x,z'
'-x+y,y,z'
'x,x-y,z'
loop_
_atom_site_label
_atom_site_fract_x
_atom_site_fract_y
_atom_site_fract_z
_atom_site_occupancy
Tl1 0.0000 0.0000 0.0000 1
Cd1 0.6667 0.3333 0.6568 1
Br1 0.3333 0.6667 0.3342 1
```

---

# 3
The following is a PBE calculation of a geometry-optimized TlCdBr5 structure, from the Alexandria database.

Results
raw formation energy: -0.5784 eV per atom

Cell and atoms, written as CIF:
```
data_TlCdBr5
_chemical_formula_sum 'Tl2 Cd2 Br10'
_cell_length_a 7.726
_cell_length_b 7.728
_cell_length_c 10.295
_cell_angle_alpha 108.97
_cell_angle_beta 108.97
_cell_angle_gamma 92.24
_space_group_name_H-M_alt 'P -1'
_space_group_IT_number 2
loop_
_space_group_symop_operation_xyz
'x,y,z'
'-x,-y,-z'
loop_
_atom_site_label
_atom_site_fract_x
_atom_site_fract_y
_atom_site_fract_z
_atom_site_occupancy
Tl1 0.122 0.378 0.250 1
Cd1 0.500 0.000 0.000 1
Cd2 0.500 0.000 0.500 1
Br1 0.162 0.748 0.345 1
Br2 0.218 0.236 0.020 1
Br3 0.248 0.662 0.846 1
Br4 0.264 0.282 0.480 1
Br5 0.420 0.079 0.750 1
```

---

# 4
The following is a PBE calculation of a geometry-optimized TlCd2Br2 structure, from the Alexandria database.

Results
raw formation energy: -0.3409 eV per atom

Cell and atoms, written as CIF:
```
data_TlCd2Br2
_chemical_formula_sum 'Tl2 Cd4 Br4'
_cell_length_a 9.531
_cell_length_b 9.531
_cell_length_c 3.908
_cell_angle_alpha 90.00
_cell_angle_beta 90.00
_cell_angle_gamma 90.00
_space_group_name_H-M_alt 'P 4/m b m'
_space_group_IT_number 127
_space_group_name_Hall '-P 4 2ab'
loop_
_atom_site_label
_atom_site_fract_x
_atom_site_fract_y
_atom_site_fract_z
_atom_site_occupancy
Tl1 0.000 0.000 0.000 1
Cd1 0.101 0.399 0.500 1
Br1 0.249 0.251 0.000 1
```

---

# 5
The following is a PBE calculation of a geometry-optimized TlCdBr3 structure, from the Alexandria database.

Results
raw formation energy: -0.8396 eV per atom

Cell and atoms, written as CIF:
```
data_TlCdBr3
_chemical_formula_sum 'Tl2 Cd2 Br6'
_cell_length_a 4.937
_cell_length_b 8.756
_cell_length_c 8.764
_cell_angle_alpha 73.98
_cell_angle_beta 89.30
_cell_angle_gamma 89.29
_space_group_name_H-M_alt 'P -1'
_space_group_IT_number 2
loop_
_space_group_symop_operation_xyz
'x,y,z'
'-x,-y,-z'
loop_
_atom_site_label
_atom_site_fract_x
_atom_site_fract_y
_atom_site_fract_z
_atom_site_occupancy
Tl1 0.200 0.284 0.285 1
Cd1 0.001 0.183 0.816 1
Br1 0.253 0.893 0.894 1
Br2 0.261 0.830 0.433 1
Br3 0.262 0.434 0.827 1
```

---

# 6
The following is a PBE calculation of a geometry-optimized TlCdBr2 structure, from the Alexandria database.

Results
raw formation energy: -0.4663 eV per atom

Cell and atoms, written as CIF:
```
data_TlCdBr2
_chemical_formula_sum 'Tl2 Cd2 Br4'
_cell_length_a 4.430
_cell_length_b 4.430
_cell_length_c 13.958
_cell_angle_alpha 90.00
_cell_angle_beta 90.00
_cell_angle_gamma 90.00
_space_group_name_H-M_alt 'I -4 m 2'
_space_group_IT_number 119
_space_group_name_Hall 'I -4 -2'
loop_
_atom_site_label
_atom_site_fract_x
_atom_site_fract_y
_atom_site_fract_z
_atom_site_occupancy
Tl1 0.000 0.000 0.000 1
Cd1 0.000 0.500 0.250 1
Br1 0.000 0.000 0.500 1
Br2 0.000 0.500 0.750 1
```

---

# 7
The following is a PBE calculation of a geometry-optimized Tl2CdBr4 structure, from the Alexandria database.

Results
raw formation energy: -0.8152 eV per atom

Cell and atoms, written as CIF:
```
data_Tl2CdBr4
_chemical_formula_sum 'Tl4 Cd2 Br8'
_cell_length_a 5.581
_cell_length_b 5.581
_cell_length_c 16.257
_cell_angle_alpha 90.00
_cell_angle_beta 90.00
_cell_angle_gamma 90.00
_space_group_name_H-M_alt 'I 4/m m m'
_space_group_IT_number 139
_space_group_name_Hall '-I 4 2'
loop_
_atom_site_label
_atom_site_fract_x
_atom_site_fract_y
_atom_site_fract_z
_atom_site_occupancy
Tl1 0.000 0.000 0.136 1
Cd1 0.000 0.000 0.500 1
Br1 0.000 0.000 0.332 1
Br2 0.000 0.500 0.000 1
```

---

# 8
The following is a PBE calculation of a geometry-optimized TlCdBr2 structure, from the Alexandria database.

Results
raw formation energy: -0.5067 eV per atom

Cell and atoms, written as CIF:
```
data_TlCdBr2
_chemical_formula_sum 'Tl1 Cd1 Br2'
_cell_length_a 3.928
_cell_length_b 4.164
_cell_length_c 8.187
_cell_angle_alpha 90.00
_cell_angle_beta 90.39
_cell_angle_gamma 90.00
_space_group_name_H-M_alt 'P 1 2/m 1'
_space_group_IT_number 10
loop_
_space_group_symop_operation_xyz
'x,y,z'
'-x,-y,-z'
'-x,y,-z'
'x,-y,z'
loop_
_atom_site_label
_atom_site_fract_x
_atom_site_fract_y
_atom_site_fract_z
_atom_site_occupancy
Tl1 0.000 0.000 0.000 1
Cd1 0.500 0.000 0.500 1
Br1 0.494 0.500 0.759 1
```

---

no.,calculated volume (Å³/f.u.),calculated density (g/cm3),DFT total energy (eV/atom)
1,198.5,5.32,-1.54
2,106.3,6.19,-2.02
3,271.3,4.38,-2.24
4,177.5,5.51,-1.85
5,182.1,5.08,-2.50
6,137.0,5.78,-2.12
7,253.2,5.51,-2.58
8,133.9,5.91,-2.16